{
  "formula": "CaThPt",
  "functional": "GGA-PBE",
  "state": "optimized geometry",
  "cell": [[2.5189, 1.4543, 8.1321], [-2.5189, 1.4543, 8.1321], [0.0000, -2.9086, 8.1321]],
  "species": ["Ca", "Ca", "Th", "Th", "Pt", "Pt"],
  "fractional_positions": [[0.1304, 0.1304, 0.1304], [0.8696, 0.8696, 0.8696], [0.3791, 0.3791, 0.3791], [0.6209, 0.6209, 0.6209], [0.2605, 0.2605, 0.2605], [0.7395, 0.7395, 0.7395]],
  "polymorph_energy_kcal_per_mol_atoms": 0.00,
  "n_ef_per_ev_cell": 5.74,
  "m_tot_mub_per_cell": 0.00,
  "ef_kj_per_mol_atoms": -65.13,
  "spacegroup": "No. 166"
}